[1]
Computed, not measured: crystalline Ho3InTe at its relaxed geometry at the PBE-GGA level of DFT.

a = 6.337 Å, b = 8.966 Å, c = 11.945 Å
α = 122.24°, β = 90.00°, γ = 90.00°
Positions (direct):
Ho  0.650  0.644  0.467
Te  0.170  0.603  0.413
In  0.784  0.023  0.670
Ho  0.421  0.241  0.207
Ho  0.219  0.539  0.125
Ho  0.781  0.461  0.875
Ho  0.150  0.856  0.033
Ho  0.079  0.741  0.707
In  0.284  0.477  0.830
Te  0.670  0.897  0.087
In  0.216  0.977  0.330
Ho  0.579  0.759  0.793
Ho  0.281  0.039  0.625
Ho  0.350  0.356  0.533
Ho  0.850  0.144  0.967
In  0.716  0.523  0.170
Ho  0.921  0.259  0.293
Te  0.830  0.397  0.587
Te  0.330  0.103  0.913
Ho  0.719  0.961  0.375

Output
E_form (uncorrected) = -51.9 kJ per mole of atoms
E_tot = -4.4611 eV/atom
Volume = 143 Å³/f.u.
Total magnetization = 0.00 μB per cell
DOS at the Fermi energy = 1.04 states/eV per atom

***

[2]
Computed, not measured: crystalline HoIn3Te4 at its relaxed geometry at the PBE-GGA level of DFT.

a = 4.397 Å, b = 4.397 Å, c = 15.897 Å
α = 82.05°, β = 82.05°, γ = 60.00°
Positions (direct):
Te  0.130  0.130  0.611
Te  0.629  0.629  0.113
In  0.247  0.247  0.258
Te  0.371  0.371  0.887
Te  0.870  0.870  0.389
In  0.753  0.753  0.742
In  0.500  0.500  0.500
Ho  0.000  0.000  0.000

Output
E_form (uncorrected) = -57.9 kJ per mole of atoms
E_tot = -3.7704 eV/atom
Volume = 263 Å³/f.u.
Total magnetization = 0.00 μB per cell
DOS at the Fermi energy = 0.22 states/eV per atom

***

[3]
Computed, not measured: crystalline Ho4InTe at its relaxed geometry at the PBE-GGA level of DFT.

a = 7.145 Å, b = 6.674 Å, c = 8.993 Å
α = 106.99°, β = 118.67°, γ = 77.45°
Positions (direct):
Ho  0.606  0.825  0.862
Ho  0.260  0.617  0.379
Ho  0.379  0.333  0.784
In  0.120  0.661  0.994
Ho  0.394  0.175  0.138
Ho  0.621  0.667  0.216
Ho  0.974  0.071  0.268
Te  0.000  0.500  0.500
In  0.880  0.339  0.006
Ho  0.740  0.383  0.621
Te  0.500  0.000  0.500
Ho  0.026  0.929  0.732

Output
E_form (uncorrected) = -42.6 kJ per mole of atoms
E_tot = -4.4734 eV/atom
Volume = 179 Å³/f.u.
Total magnetization = 0.00 μB per cell
DOS at the Fermi energy = 0.92 states/eV per atom